Here is a relaxed structure of Tb3Zn2Co from the Alexandria database. Energies are from GGA-PBE.

## Properties
- ΔE_f: -266 meV per atom
- Magnetic moment: 0.00 μB/atom
- Crystal system: orthorhombic

Unit cell a=4.407 b=10.319 c=11.923 alpha=90.00 beta=90.00 gamma=90.00
Fractional coordinates of all 24 atoms:
Tb: 0.250 0.714 0.240
Tb: 0.250 0.386 0.057
Tb: 0.750 0.614 0.943
Tb: 0.250 0.059 0.892
Tb: 0.250 0.114 0.557
Tb: 0.750 0.886 0.443
Tb: 0.750 0.286 0.760
Tb: 0.750 0.559 0.608
Tb: 0.750 0.941 0.108
Tb: 0.750 0.214 0.260
Tb: 0.250 0.786 0.740
Tb: 0.250 0.441 0.392
Co: 0.250 0.365 0.616
Co: 0.250 0.135 0.116
Co: 0.750 0.635 0.384
Co: 0.750 0.865 0.884
Zn: 0.250 0.795 0.990
Zn: 0.750 0.511 0.206
Zn: 0.250 0.705 0.490
Zn: 0.750 0.989 0.706
Zn: 0.250 0.489 0.794
Zn: 0.750 0.205 0.010
Zn: 0.750 0.295 0.510
Zn: 0.250 0.011 0.294